Computed, not measured: Ba12Ag3Cl5 after structural relaxation at the PBE level of DFT.

Summary:
The total magnetic moment is 36.95 μB/cell. Its density of states at the Fermi level is 1.062 states/eV per atom. As for the energy: -2.8999 eV per atom. The calculated density is 3.84 g/cm3. Its formation energy (no corrections) is -0.857 eV per atom.

```
data_Ba12Ag3Cl5
_chemical_formula_sum 'Ba96 Ag24 Cl40'
_space_group_name_H-M_alt 'I a -3 d'
_space_group_IT_number 230
_space_group_name_Hall '-I 4bd 2c 3'
_cell_length_a 19.5194
_cell_length_b 19.5194
_cell_length_c 19.5194
_cell_angle_alpha 90.00
_cell_angle_beta 90.00
_cell_angle_gamma 90.00
loop_
_atom_site_label
_atom_site_type_symbol
_atom_site_fract_x
_atom_site_fract_y
_atom_site_fract_z
_atom_site_occupancy
Ba1 Ba 0.0271 0.0685 0.6516 1
Ag1 Ag 0.0000 0.2500 0.1250 1
Cl1 Cl 0.0000 0.0000 0.0000 1
Cl2 Cl 0.0000 0.2500 0.3750 1
```